[1]
Material: ZrNb2PtI
Method: DFT, PBE-GGA
State: relaxed

Unit cell a=4.9385 b=4.9385 c=5.3062 alpha=90.00 beta=90.00 gamma=90.00
Space group P4/mmm (No. 123)
Symmetry-distinct sites (fractional):
Zr (0.0000, 0.0000, 0.0000)
Nb (0.0000, 0.5000, 0.5000)
Pt (0.5000, 0.5000, 0.5000)
I (0.5000, 0.5000, 0.0000)

Output
The calculation puts the raw formation energy at 1.14 eV per atom. The calculation puts the density of states at the Fermi level at 0.8989 states/eV per atom. The energy comes out at -30.573 eV per cell.


[2]
Material: Nb2MoRu
Method: DFT, PBE-GGA
State: relaxed

Unit cell a=4.5309 b=4.5309 c=3.2063 alpha=90.00 beta=90.00 gamma=90.00
Space group P4/mmm (No. 123)
Symmetry-distinct sites (fractional):
Nb (0.0000, 0.5000, 0.0000)
Mo (0.0000, 0.0000, 0.5000)
Ru (0.5000, 0.5000, 0.5000)

Output
The value obtained for the formation energy is -5.59 kcal/mol of atoms. The calculation puts the density of states at the Fermi level at 0.4593 states/eV per atom. The energy comes out at -41.217 eV per cell.


[3]
Material: Tb8AgRh2
Method: DFT, PBE-GGA
State: relaxed

Unit cell a=8.5003 b=13.1724 c=5.6274 alpha=90.00 beta=105.63 gamma=90.00
Space group C2/m (No. 12)
Symmetry-distinct sites (fractional):
Tb (0.0000, 0.2387, 0.0000)
Tb (0.1171, 0.5000, 0.8097)
Tb (0.2055, 0.1269, 0.5828)
Ag (0.0000, 0.0000, 0.0000)
Rh (0.0000, 0.2996, 0.5000)

Output
The value obtained for the formation energy is -6.96 kcal/mol of atoms. The calculation puts the density of states at the Fermi level at 1.2262 states/eV per atom. The energy comes out at -115.837 eV per cell.


[4]
Material: La2CuO
Method: DFT, PBE-GGA
State: relaxed

Unit cell a=3.9001 b=3.9001 c=20.0915 alpha=90.00 beta=90.00 gamma=120.00
Space group R-3m (No. 166, hexagonal axes)
Symmetry-distinct sites (fractional):
La (0.0000, 0.0000, 0.2347)
Cu (0.0000, 0.0000, 0.0000)
O (0.0000, 0.0000, 0.5000)

Output
The calculation puts the raw formation energy at -1.33 eV per atom. The calculation puts the density of states at the Fermi level at 0.5873 states/eV per atom. The energy comes out at -72.631 eV per cell.


[5]
Material: AlN
Method: DFT, PBE-GGA
State: relaxed

Unit cell a=4.0683 b=4.0683 c=4.0683 alpha=90.00 beta=90.00 gamma=90.00
Space group Fm-3m (No. 225)
Symmetry-distinct sites (fractional):
Al (0.0000, 0.0000, 0.0000)
N (0.0000, 0.0000, 0.5000)

Output
The calculation puts the raw formation energy at -1.24 eV per atom. The calculation puts the density of states at the Fermi level at 0.0000 states/eV per atom. The energy comes out at -58.180 eV per cell.


[6]
Material: NaMnPb2
Method: DFT, PBE-GGA
State: relaxed

Unit cell a=4.8475 b=4.8475 c=19.5828 alpha=90.00 beta=90.00 gamma=90.00
Space group I-42d (No. 122)
Symmetry-distinct sites (fractional):
Na (0.0000, 0.0000, 0.0000)
Mn (0.0000, 0.0000, 0.5000)
Pb (0.2169, 0.2500, 0.6250)

Output
The value obtained for the formation energy is 8.76 kcal/mol of atoms. The calculation puts the density of states at the Fermi level at 0.4668 states/eV per atom. The energy comes out at -65.540 eV per cell.


[7]
Material: CsSn4Se7
Method: DFT, PBE-GGA
State: relaxed

Unit cell a=17.9068 b=6.7475 c=6.7955 alpha=90.00 beta=90.00 gamma=90.00
Space group Pmn2_1 (No. 31)
Symmetry-distinct sites (fractional):
Cs (0.0000, 0.2224, 0.0000)
Sn (0.1071, 0.8117, 0.4379)
Sn (0.2503, 0.2753, 0.4847)
Se (0.0000, 0.6361, 0.6271)
Se (0.0922, 0.7262, 0.0745)
Se (0.0932, 0.1826, 0.4998)
Se (0.2382, 0.6865, 0.5610)

Output
The calculation puts the raw formation energy at -0.46 eV per atom. The calculation puts the density of states at the Fermi level at 0.1588 states/eV per atom. The energy comes out at -93.645 eV per cell.


[8]
Material: Be2CrSi
Method: DFT, PBE-GGA
State: relaxed

Unit cell a=3.2763 b=3.2763 c=7.4621 alpha=90.00 beta=90.00 gamma=90.00
Space group I4/mmm (No. 139)
Symmetry-distinct sites (fractional):
Be (0.0000, 0.5000, 0.2500)
Cr (0.0000, 0.0000, 0.0000)
Si (0.0000, 0.0000, 0.5000)

Output
The calculation puts the raw formation energy at -0.12 eV per atom. The calculation puts the density of states at the Fermi level at 0.3100 states/eV per atom. The energy comes out at -45.927 eV per cell.


[9]
Material: HoIn2Pt9
Method: DFT, PBE-GGA
State: relaxed

Unit cell a=4.0742 b=4.0742 c=12.1817 alpha=90.00 beta=90.00 gamma=90.00
Space group P4/mmm (No. 123)
Symmetry-distinct sites (fractional):
Ho (0.0000, 0.0000, 0.0000)
In (0.0000, 0.0000, 0.3358)
Pt (0.0000, 0.5000, 0.1702)
Pt (0.0000, 0.5000, 0.5000)
Pt (0.5000, 0.5000, 0.0000)
Pt (0.5000, 0.5000, 0.3351)

Output
The value obtained for the formation energy is -13.83 kcal/mol of atoms. The calculation puts the density of states at the Fermi level at 1.1027 states/eV per atom. The energy comes out at -71.618 eV per cell.


Number 1: theoretical density 7.7 g/cm3. Number 2: theoretical density 9.7 g/cm3. Number 3: theoretical density 8.7 g/cm3. Number 4: theoretical density 6.7 g/cm3. Number 5: theoretical density 4.0 g/cm3. Number 6: theoretical density 7.1 g/cm3. Number 7: theoretical density 4.7 g/cm3. Number 8: theoretical density 4.1 g/cm3. Number 9: theoretical density 17.7 g/cm3.